# Ga3SbP, optimized geometry, DFT PBE-GGA
data_Ga3SbP
_symmetry_space_group_name_H-M 'P 1'
_symmetry_Int_Tables_number 1
_symmetry_space_group_name_Hall 'P 1'
_cell_length_a 5.265
_cell_length_b 5.265
_cell_length_c 5.265
_cell_angle_alpha 90.00
_cell_angle_beta 90.00
_cell_angle_gamma 90.00
loop_
_atom_site_label
_atom_site_fract_x
_atom_site_fract_y
_atom_site_fract_z
Sb1 0.000 0.000 0.000
Ga1 0.000 0.500 0.000
Ga2 0.000 0.000 0.500
Ga3 0.500 0.000 0.000
P1 0.500 0.500 0.500
# Magnetization, μB per formula unit: 0.000
# E_form (uncorrected), eV per formula unit: 4.14
# V, Å³/cell: 145.9
# Distance to the lowest polymorph of the same formula, meV per atom: 648
# SG: Pm-3m